[1]
Density functional theory data (PBE) for a geometry-optimized Nb3V3Os structure.

The value obtained for the calculated formation energy is 0.18 eV/atom.

a b c (Å): 6.1474 6.1475 6.1475
angles (deg): 87.56 87.56 87.56
Element x y z (fractional)
1 Nb 0.1619 0.6088 0.1620
2 V 0.8759 0.3917 0.3918
3 Nb 0.6088 0.1620 0.1619
4 Nb 0.1620 0.1619 0.6088
5 Nb 0.6619 0.6620 0.1088
6 V 0.3918 0.8759 0.3917
7 V 0.3917 0.3918 0.8759
8 Os 0.6240 0.6240 0.6240
9 V 0.8917 0.3759 0.8918
10 V 0.8918 0.8917 0.3759
11 V 0.3759 0.8918 0.8917
12 Nb 0.1088 0.6619 0.6620
13 Os 0.1240 0.1240 0.1240
14 Nb 0.6620 0.1088 0.6619


[2]
Density functional theory data (PBE) for a geometry-optimized BaYMgCd structure.

The value obtained for the calculated formation energy is -0.08 eV/atom.

a b c (Å): 5.6858 5.6858 5.6858
angles (deg): 60.00 60.00 60.00
Element x y z (fractional)
1 Y 0.7500 0.7500 0.7500
2 Mg 0.5000 0.5000 0.5000
3 Ba 0.2500 0.2500 0.2500
4 Cd 0.0000 0.0000 0.0000


[3]
Density functional theory data (PBE) for a geometry-optimized Nd9YIn2 structure.

The value obtained for the calculated formation energy is -0.17 eV/atom.

a b c (Å): 5.0147 5.0147 15.3816
angles (deg): 90.00 90.00 90.00
Element x y z (fractional)
1 Nd 0.0000 0.5000 0.5000
2 Nd 0.5000 0.5000 0.0000
3 Nd 0.5000 0.0000 0.1737
4 Nd 0.5000 0.5000 0.3375
5 In 0.0000 0.0000 0.3389
6 In 0.0000 0.0000 0.6611
7 Nd 0.0000 0.5000 0.1737
8 Y 0.0000 0.0000 0.0000
9 Nd 0.0000 0.5000 0.8263
10 Nd 0.5000 0.0000 0.8263
11 Nd 0.5000 0.5000 0.6625
12 Nd 0.5000 0.0000 0.5000


[4]
Density functional theory data (PBE) for a geometry-optimized LiBiHPd2 structure.

The total DFT energy (no corrections) is -4.040 eV/atom.

a b c (Å): 4.0418 4.0418 4.6499
angles (deg): 90.00 90.00 90.00
Element x y z (fractional)
1 Li 0.5000 0.5000 0.5000
2 Pd 0.0000 0.5000 0.0000
3 Pd 0.5000 0.0000 0.0000
4 Bi 0.0000 0.0000 0.5000
5 H 0.0000 0.0000 0.0000


[5]
Density functional theory data (PBE) for a geometry-optimized Gd2TmBr structure.

For the formation energy from raw total energies, the calculation gives -0.536 eV per atom.

a b c (Å): 3.6654 3.6654 10.4721
angles (deg): 79.92 79.92 60.00
Element x y z (fractional)
1 Gd 0.2570 0.2570 0.2289
2 Br 0.0000 0.0000 0.0000
3 Gd 0.7430 0.7430 0.7711
4 Tm 0.5000 0.5000 0.5000


[6]
Density functional theory data (PBE) for a geometry-optimized LaZn4CuAu2 structure.

The value obtained for the calculated formation energy is -0.31 eV/atom.

a b c (Å): 4.3878 4.3878 9.2609
angles (deg): 76.30 76.30 60.00
Element x y z (fractional)
1 Cu 0.5000 0.5000 0.5000
2 Zn 0.4042 0.4042 0.7873
3 Zn 0.5958 0.5958 0.2127
4 Au 0.2407 0.2407 0.2778
5 Zn 0.1362 0.1362 0.5915
6 La 0.0000 0.0000 0.0000
7 Au 0.7593 0.7593 0.7222
8 Zn 0.8638 0.8638 0.4085


[7]
Density functional theory data (PBE) for a geometry-optimized Y2Rh2I structure.

For the formation energy from raw total energies, the calculation gives -0.612 eV per atom.

a b c (Å): 4.0321 4.0321 8.6265
angles (deg): 76.48 76.48 90.00
Element x y z (fractional)
1 Y 0.6386 0.6386 0.7228
2 I 0.0000 0.0000 0.0000
3 Y 0.3614 0.3614 0.2772
4 Rh 0.2500 0.7500 0.5000
5 Rh 0.7500 0.2500 0.5000


[8]
Density functional theory data (PBE) for a geometry-optimized Ba6PSe2Br3 structure.

For the formation energy from raw total energies, the calculation gives -1.766 eV per atom.

a b c (Å): 8.1535 8.1535 8.2487
angles (deg): 99.49 99.49 119.92
Element x y z (fractional)
1 Se 0.6664 0.3336 0.0000
2 Se 0.3336 0.6664 0.0000
3 Ba 0.6019 0.9254 0.7760
4 Br 0.8316 0.1684 0.5000
5 P 0.0000 0.0000 0.0000
6 Ba 0.0746 0.3981 0.2240
7 Ba 0.7518 0.7518 0.2250
8 Ba 0.3981 0.0746 0.2240
9 Ba 0.9254 0.6019 0.7760
10 Br 0.1684 0.8316 0.5000
11 Ba 0.2482 0.2482 0.7750
12 Br 0.5000 0.5000 0.5000


Number 1: density 8.912 Mg/m³. Number 2: density 4.637 Mg/m³. Number 3: density 6.940 Mg/m³. Number 4: density 9.395 Mg/m³. Number 5: density 7.839 Mg/m³. Number 6: density 9.593 Mg/m³. Number 7: density 6.405 Mg/m³. Number 8: density 4.635 Mg/m³.